[1]
Here is a geometry-optimized SrAg2Sb2 structure from OQMD via LeMat-Bulk. Energies are from PBE-GGA.

- Crystal system: tetragonal
- Final energy: -3.5235 eV/atom

Lattice parameters (Å, degrees): 7.037 7.037 7.037 141.37 141.37 55.77
Atoms (fractional coordinates):
Sr  0.000  0.000  0.000
Ag  0.250  0.750  0.500
Ag  0.750  0.250  0.500
Sb  0.381  0.381  0.000
Sb  0.619  0.619  0.000

[2]
Here is a geometry-optimized TaAgSb2 structure from OQMD via LeMat-Bulk. Energies are from PBE-GGA.

- Crystal system: cubic
- Final energy: -5.1056 eV/atom
- M_tot: 0.01 μB/cell

Lattice parameters (Å, degrees): 4.975 4.975 4.975 60.00 60.00 60.00
Atoms (fractional coordinates):
Ta  0.000  0.000  0.000
Ag  0.250  0.250  0.250
Sb  0.500  0.500  0.500
Sb  0.750  0.750  0.750

[3]
Here is a geometry-optimized AgSbTe structure from OQMD via LeMat-Bulk. Energies are from PBE-GGA.

- Crystal system: hexagonal
- Energy above the most stable polymorph in this dataset: 0.026 eV/atom

Lattice parameters (Å, degrees): 4.273 4.273 10.236 90.00 90.00 120.00
Atoms (fractional coordinates):
Ag  0.000  0.000  0.000
Ag  0.000  0.000  0.500
Sb  0.333  0.667  0.357
Sb  0.667  0.333  0.857
Te  0.333  0.667  0.655
Te  0.667  0.333  0.155

[4]
Here is a geometry-optimized AgSbTe structure from OQMD via LeMat-Bulk. Energies are from PBE-GGA.

- Crystal system: hexagonal
- Energy above the most stable polymorph in this dataset: 0.253 eV/atom

Lattice parameters (Å, degrees): 8.502 8.502 3.994 90.00 90.00 120.00
Atoms (fractional coordinates):
Ag  0.000  0.546  0.000
Ag  0.454  0.454  0.000
Ag  0.546  0.000  0.000
Sb  0.000  0.000  0.000
Sb  0.333  0.667  0.500
Sb  0.667  0.333  0.500
Te  0.000  0.277  0.500
Te  0.277  0.000  0.500
Te  0.723  0.723  0.500

[5]
Here is a geometry-optimized AgSbTe structure from OQMD via LeMat-Bulk. Energies are from PBE-GGA.

- Crystal system: orthorhombic
- Energy above the most stable polymorph in this dataset: 0.008 eV/atom

Lattice parameters (Å, degrees): 6.819 4.321 12.065 90.00 90.00 90.00
Atoms (fractional coordinates):
Ag  0.111  0.250  0.124
Ag  0.389  0.750  0.624
Ag  0.611  0.250  0.376
Ag  0.889  0.750  0.876
Sb  0.146  0.250  0.865
Sb  0.354  0.750  0.365
Sb  0.646  0.250  0.635
Sb  0.854  0.750  0.135
Te  0.122  0.250  0.629
Te  0.378  0.750  0.129
Te  0.622  0.250  0.871
Te  0.878  0.750  0.371

[6]
Here is a geometry-optimized AgSbTe structure from OQMD via LeMat-Bulk. Energies are from PBE-GGA.

- Crystal system: orthorhombic
- Energy above the most stable polymorph in this dataset: 0.000 eV/atom

Lattice parameters (Å, degrees): 8.626 4.281 9.532 90.00 90.00 90.00
Atoms (fractional coordinates):
Ag  0.171  0.250  0.125
Ag  0.329  0.750  0.625
Ag  0.671  0.250  0.375
Ag  0.829  0.750  0.875
Sb  0.124  0.250  0.538
Sb  0.376  0.750  0.038
Sb  0.624  0.250  0.962
Sb  0.876  0.750  0.462
Te  0.030  0.250  0.821
Te  0.470  0.750  0.321
Te  0.530  0.250  0.679
Te  0.970  0.750  0.179

[7]
Here is a geometry-optimized AgSbTe structure from OQMD via LeMat-Bulk. Energies are from PBE-GGA.

- Crystal system: cubic
- Energy above the most stable polymorph in this dataset: 0.280 eV/atom

Lattice parameters (Å, degrees): 5.048 5.048 5.048 60.00 60.00 60.00
Atoms (fractional coordinates):
Ag  0.000  0.000  0.000
Sb  0.250  0.250  0.250
Te  0.500  0.500  0.500

[8]
Here is a geometry-optimized AgSbTe structure from OQMD via LeMat-Bulk. Energies are from PBE-GGA.

- Crystal system: hexagonal
- Energy above the most stable polymorph in this dataset: 0.210 eV/atom

Lattice parameters (Å, degrees): 5.428 5.428 6.144 90.00 90.00 120.00
Atoms (fractional coordinates):
Ag  0.000  0.000  0.000
Ag  0.000  0.000  0.500
Sb  0.333  0.667  0.250
Sb  0.667  0.333  0.750
Te  0.333  0.667  0.750
Te  0.667  0.333  0.250

[9]
Here is a geometry-optimized TmAgSb structure from OQMD via LeMat-Bulk. Energies are from PBE-GGA.

- Crystal system: cubic
- Final energy: -4.1518 eV/atom
- M_tot: 0.00 μB/cell

Lattice parameters (Å, degrees): 4.896 4.896 4.896 60.00 60.00 60.00
Atoms (fractional coordinates):
Tm  0.000  0.000  0.000
Ag  0.750  0.750  0.750
Sb  0.250  0.250  0.250

[10]
Here is a geometry-optimized TmAgSb structure from OQMD via LeMat-Bulk. Energies are from PBE-GGA.

- Crystal system: cubic
- Final energy: -4.2143 eV/atom
- M_tot: 0.00 μB/cell

Lattice parameters (Å, degrees): 4.751 4.751 4.751 60.00 60.00 60.00
Atoms (fractional coordinates):
Tm  0.000  0.000  0.000
Ag  0.750  0.750  0.750
Sb  0.500  0.500  0.500

Number 1: theoretical density 6.74 Mg/m³. Number 2: theoretical density 10.15 Mg/m³. Number 3: theoretical density 7.33 Mg/m³. Number 4: theoretical density 7.12 Mg/m³. Number 5: theoretical density 6.67 Mg/m³. Number 6: theoretical density 6.74 Mg/m³. Number 7: theoretical density 6.52 Mg/m³. Number 8: theoretical density 7.57 Mg/m³. Number 9: theoretical density 7.97 Mg/m³. Number 10: theoretical density 8.73 Mg/m³.